A relaxed Li2P4WO13 crystal. Source: Alexandria via LeMat-Bulk, functional GGA+U.

Cell lengths 5.295, 8.199, 13.729 Å; angles 75.41, 86.86, 80.09 degrees
Sites, in units of the cell vectors:
Li  0.002  0.158  0.009
Li  0.460  0.193  0.497
Li  0.540  0.807  0.503
Li  0.998  0.842  0.991
P  0.043  0.329  0.630
P  0.070  0.375  0.155
P  0.293  0.089  0.814
P  0.391  0.128  0.310
P  0.609  0.872  0.690
P  0.707  0.911  0.186
P  0.930  0.625  0.845
P  0.957  0.671  0.370
W  0.489  0.473  0.738
W  0.511  0.527  0.262
O  0.077  0.169  0.732
O  0.122  0.266  0.539
O  0.124  0.214  0.257
O  0.132  0.308  0.065
O  0.166  0.029  0.914
O  0.207  0.458  0.649
O  0.213  0.550  0.834
O  0.236  0.507  0.169
O  0.242  0.596  0.364
O  0.366  0.979  0.395
O  0.435  0.920  0.783
O  0.482  0.211  0.809
O  0.493  0.733  0.659
O  0.507  0.267  0.341
O  0.518  0.789  0.191
O  0.565  0.080  0.217
O  0.634  0.021  0.605
O  0.758  0.404  0.636
O  0.764  0.493  0.831
O  0.787  0.450  0.166
O  0.793  0.542  0.351
O  0.834  0.971  0.086
O  0.868  0.692  0.935
O  0.876  0.786  0.743
O  0.878  0.734  0.461
O  0.923  0.831  0.268

Summary:
Magnetization (Bohr magnetons per cell): 4.0
DFT total energy (eV/cell): -281.88